A relaxed structure of Ho3TmMg2, computed with GGA-PBE.

magnetization = 0.00 μB/f.u.
D(E_F) = 7.83 states/eV per cell
density = 6.95 Mg/m³
total DFT energy (no corrections) = -3.60 eV per atom
ΔH_f (0 K) = -0.03 eV per atom

Unit cell a=3.599 b=3.599 c=13.135 alpha=90.00 beta=90.00 gamma=90.00
Atoms (fractional coordinates):
Ho (0.000, 0.000, 0.000)
Ho (0.000, 0.000, 0.317)
Ho (0.000, 0.000, 0.683)
Tm (0.500, 0.500, 0.500)
Mg (0.500, 0.500, 0.156)
Mg (0.500, 0.500, 0.844)

A relaxed structure of Ho6Tm5Mg2, computed with GGA-PBE.

magnetization = 0.01 μB/f.u.
D(E_F) = 47.63 states/eV per cell
density = 7.83 Mg/m³
total DFT energy (no corrections) = -3.93 eV per atom
ΔH_f (0 K) = 0.15 eV per atom

Unit cell a=10.215 b=22.288 c=3.506 alpha=90.00 beta=90.00 gamma=90.00
Atoms (fractional coordinates):
Ho (0.020, 0.113, 0.000)
Ho (0.142, 0.382, 0.000)
Ho (0.170, 0.634, 0.500)
Ho (0.330, 0.134, 0.500)
Ho (0.358, 0.882, 0.000)
Ho (0.480, 0.613, 0.000)
Ho (0.520, 0.387, 0.000)
Ho (0.642, 0.118, 0.000)
Ho (0.670, 0.866, 0.500)
Ho (0.830, 0.366, 0.500)
Ho (0.858, 0.618, 0.000)
Ho (0.980, 0.887, 0.000)
Tm (0.000, 0.500, 0.500)
Tm (0.078, 0.249, 0.500)
Tm (0.166, 0.994, 0.500)
Tm (0.334, 0.494, 0.500)
Tm (0.422, 0.749, 0.500)
Tm (0.500, 0.000, 0.500)
Tm (0.578, 0.251, 0.500)
Tm (0.666, 0.506, 0.500)
Tm (0.834, 0.006, 0.500)
Tm (0.922, 0.751, 0.500)
Mg (0.172, 0.761, 0.000)
Mg (0.328, 0.261, 0.000)
Mg (0.672, 0.739, 0.000)
Mg (0.828, 0.239, 0.000)

A relaxed structure of HoTm4Mg7, computed with GGA-PBE.

magnetization = 0.00 μB/f.u.
D(E_F) = 11.73 states/eV per cell
density = 5.34 Mg/m³
total DFT energy (no corrections) = -2.81 eV per atom
distance to the lowest polymorph of the same formula = 0.0000 eV per atom
ΔH_f (0 K) = -0.01 eV per atom

Unit cell a=5.268 b=5.268 c=13.080 alpha=90.00 beta=90.00 gamma=120.00
Atoms (fractional coordinates):
Ho (0.000, 0.000, 0.000)
Tm (0.333, 0.667, 0.162)
Tm (0.333, 0.667, 0.423)
Tm (0.667, 0.333, 0.577)
Tm (0.667, 0.333, 0.838)
Mg (0.000, 0.000, 0.262)
Mg (0.000, 0.000, 0.500)
Mg (0.000, 0.000, 0.738)
Mg (0.333, 0.667, 0.681)
Mg (0.333, 0.667, 0.918)
Mg (0.667, 0.333, 0.082)
Mg (0.667, 0.333, 0.319)

A relaxed structure of HoTm8Mg2, computed with GGA-PBE.

magnetization = 0.00 μB/f.u.
D(E_F) = 14.94 states/eV per cell
density = 7.86 Mg/m³
total DFT energy (no corrections) = -3.80 eV per atom
ΔH_f (0 K) = 0.16 eV per atom

Unit cell a=8.772 b=8.772 c=5.541 alpha=102.05 beta=102.05 gamma=121.09
Atoms (fractional coordinates):
Ho (0.000, 0.000, 0.000)
Tm (0.098, 0.320, 0.629)
Tm (0.212, 0.788, 0.000)
Tm (0.320, 0.098, 0.629)
Tm (0.405, 0.405, 0.202)
Tm (0.595, 0.595, 0.798)
Tm (0.680, 0.902, 0.371)
Tm (0.788, 0.212, 0.000)
Tm (0.902, 0.680, 0.371)
Mg (0.307, 0.693, 0.500)
Mg (0.693, 0.307, 0.500)

A relaxed structure of Ho3Tm4Mg, computed with GGA-PBE.

magnetization = 0.00 μB/f.u.
D(E_F) = 24.27 states/eV per cell
density = 8.14 Mg/m³
total DFT energy (no corrections) = -3.92 eV per atom
distance to the lowest polymorph of the same formula = 0.2327 eV per atom
ΔH_f (0 K) = 0.23 eV per atom

Unit cell a=25.239 b=3.352 c=5.791 alpha=90.00 beta=95.66 gamma=90.00
Atoms (fractional coordinates):
Ho (0.000, 0.000, 0.000)
Ho (0.150, 0.000, 0.215)
Ho (0.350, 0.500, 0.785)
Ho (0.500, 0.500, 0.000)
Ho (0.650, 0.500, 0.215)
Ho (0.850, 0.000, 0.785)
Tm (0.102, 0.000, 0.696)
Tm (0.218, 0.500, 0.737)
Tm (0.282, 0.000, 0.263)
Tm (0.398, 0.500, 0.304)
Tm (0.602, 0.500, 0.696)
Tm (0.718, 0.000, 0.737)
Tm (0.782, 0.500, 0.263)
Tm (0.898, 0.000, 0.304)
Mg (0.000, 0.500, 0.500)
Mg (0.500, 0.000, 0.500)

A relaxed structure of Ho3Tm4Mg2, computed with GGA-PBE.

magnetization = 0.00 μB/f.u.
D(E_F) = 12.14 states/eV per cell
density = 7.74 Mg/m³
total DFT energy (no corrections) = -3.86 eV per atom
ΔH_f (0 K) = 0.01 eV per atom

Unit cell a=7.710 b=7.710 c=7.765 alpha=107.67 beta=107.67 gamma=36.73
Atoms (fractional coordinates):
Ho (0.000, 0.000, 0.000)
Ho (0.111, 0.111, 0.665)
Ho (0.889, 0.889, 0.335)
Tm (0.221, 0.221, 0.332)
Tm (0.444, 0.444, 0.665)
Tm (0.556, 0.556, 0.335)
Tm (0.779, 0.779, 0.668)
Mg (0.331, 0.331, 0.000)
Mg (0.669, 0.669, 0.000)

A relaxed structure of Y2HoTm4Mg, computed with GGA-PBE.

magnetization = 0.00 μB/f.u.
D(E_F) = 21.50 states/eV per cell
density = 7.22 Mg/m³
total DFT energy (no corrections) = -4.61 eV per atom
ΔH_f (0 K) = 0.02 eV per atom

Unit cell a=12.076 b=3.643 c=11.426 alpha=90.00 beta=107.38 gamma=90.00
Atoms (fractional coordinates):
Y (0.024, 0.000, 0.273)
Y (0.476, 0.500, 0.727)
Y (0.524, 0.500, 0.273)
Y (0.976, 0.000, 0.727)
Ho (0.000, 0.500, 0.000)
Ho (0.500, 0.000, 0.000)
Tm (0.218, 0.000, 0.609)
Tm (0.238, 0.500, 0.868)
Tm (0.262, 0.000, 0.132)
Tm (0.282, 0.500, 0.391)
Tm (0.718, 0.500, 0.609)
Tm (0.738, 0.000, 0.868)
Tm (0.762, 0.500, 0.132)
Tm (0.782, 0.000, 0.391)
Mg (0.000, 0.500, 0.500)
Mg (0.500, 0.000, 0.500)

A relaxed structure of YHo2Tm2Mg2, computed with GGA-PBE.

magnetization = 0.00 μB/f.u.
D(E_F) = 8.20 states/eV per cell
density = 6.68 Mg/m³
total DFT energy (no corrections) = -3.99 eV per atom
ΔH_f (0 K) = -0.03 eV per atom

Unit cell a=8.534 b=8.534 c=8.534 alpha=36.85 beta=36.85 gamma=36.85
Atoms (fractional coordinates):
Y (0.000, 0.000, 0.000)
Ho (0.427, 0.427, 0.427)
Ho (0.573, 0.573, 0.573)
Tm (0.155, 0.155, 0.155)
Tm (0.845, 0.845, 0.845)
Mg (0.289, 0.289, 0.289)
Mg (0.711, 0.711, 0.711)

A relaxed structure of YHoTmMg, computed with GGA-PBE.

magnetization = 0.00 μB/f.u.
D(E_F) = 5.19 states/eV per cell
density = 6.34 Mg/m³
total DFT energy (no corrections) = -4.30 eV per atom
distance to the lowest polymorph of the same formula = 0.0000 eV per atom
ΔH_f (0 K) = -0.03 eV per atom

Unit cell a=3.560 b=3.560 c=9.241 alpha=90.00 beta=90.00 gamma=90.00
Atoms (fractional coordinates):
Y (0.000, 0.000, 0.000)
Ho (0.500, 0.500, 0.267)
Tm (0.000, 0.000, 0.527)
Mg (0.500, 0.500, 0.760)

A relaxed structure of Y2Ho4TmMg, computed with GGA-PBE.

magnetization = 0.00 μB/f.u.
D(E_F) = 12.37 states/eV per cell
density = 7.05 Mg/m³
total DFT energy (no corrections) = -4.64 eV per atom
ΔH_f (0 K) = 0.03 eV per atom

Unit cell a=4.929 b=4.940 c=9.971 alpha=90.00 beta=90.00 gamma=90.00
Atoms (fractional coordinates):
Y (0.000, 0.000, 0.000)
Y (0.500, 0.500, 0.500)
Ho (0.000, 0.500, 0.249)
Ho (0.000, 0.500, 0.751)
Ho (0.500, 0.000, 0.249)
Ho (0.500, 0.000, 0.751)
Tm (0.000, 0.000, 0.500)
Mg (0.500, 0.500, 0.000)

A relaxed structure of Y2Ho3Tm6Mg, computed with GGA-PBE.

magnetization = 0.00 μB/f.u.
D(E_F) = 18.44 states/eV per cell
density = 7.86 Mg/m³
total DFT energy (no corrections) = -4.56 eV per atom
ΔH_f (0 K) = 0.03 eV per atom

Unit cell a=6.047 b=6.047 c=11.599 alpha=95.02 beta=95.02 gamma=120.01
Atoms (fractional coordinates):
Y (0.166, 0.834, 0.000)
Y (0.834, 0.166, 0.000)
Ho (0.000, 0.000, 0.500)
Ho (0.334, 0.666, 0.500)
Ho (0.666, 0.334, 0.500)
Tm (0.085, 0.417, 0.750)
Tm (0.250, 0.250, 0.251)
Tm (0.417, 0.085, 0.750)
Tm (0.583, 0.915, 0.250)
Tm (0.750, 0.750, 0.749)
Tm (0.915, 0.583, 0.250)
Mg (0.500, 0.500, 0.000)